Compound: RbNa2GaC
Source: Alexandria via LeMat-Bulk
Functional: meta-GGA SCAN
Structure: PBEsol geometry

* E_form: 960 meV/atom
* SG: P4/mmm, No. 123

Geometry as POSCAR:
```
RbNa2GaC
1.0
-0.108 -4.476 2.284
3.961 1.330 2.794
-3.591 2.160 4.063
Na C Ga Rb
2 1 1 1
Cartesian
1.980 0.665 1.397 Na
-0.054 -2.238 1.142 Na
0.000 0.000 0.000 C
0.131 -0.493 4.570 Ga
-1.795 1.080 2.031 Rb
```

***

Compound: Na2ZnGaC
Source: Alexandria via LeMat-Bulk
Functional: meta-GGA SCAN
Structure: PBEsol geometry

* E_form: 554 meV/atom
* SG: P4/mmm, No. 123

Geometry as POSCAR:
```
Na2ZnGaC
1.0
3.741 0.000 0.000
0.000 5.068 0.000
0.000 0.000 5.068
Na Zn C Ga
2 1 1 1
Cartesian
0.000 0.000 2.534 Na
0.000 2.534 0.000 Na
1.870 0.000 0.000 Zn
0.000 0.000 0.000 C
1.870 2.534 2.534 Ga
```